Entry 1:
DFT (PBE) results for a relaxed structure of B7C5.

It has space group P3m1 (No. 156), with a = 2.6282 Å, b = 2.6282 Å, c = 15.4709 Å, α = 90.00°, β = 90.00° and γ = 120.00°. The inequivalent atoms are B at (0.0000, 0.0000, 0.0000), B at (0.0000, 0.0000, 0.1084), B at (0.0000, 0.0000, 0.4311), B at (0.0000, 0.0000, 0.6612), B at (0.3333, 0.6667, 0.1748), B at (0.6667, 0.3333, 0.8193), B at (0.6667, 0.3333, 0.9290), C at (0.3333, 0.6667, 0.2776), C at (0.3333, 0.6667, 0.6736), C at (0.3333, 0.6667, 0.7741), C at (0.6667, 0.3333, 0.3104) and C at (0.6667, 0.3333, 0.4177).

As for the magnetization: 0.0 μB/f.u. For the energy relative to the lowest polymorph listed for this composition, the calculation gives 320 meV/atom. The density is 2435 kg/m³. The calculation puts the energy at -0.2666 hartree per atom. The formation enthalpy at 0 K is 0.485 eV/atom.

***

Entry 2:
DFT (PBE) results for a relaxed structure of BC.

It has space group P3m1 (No. 156), with a = 2.6157 Å, b = 2.6157 Å, c = 16.8221 Å, α = 90.00°, β = 90.00° and γ = 120.00°. The inequivalent atoms are B at (0.0000, 0.0000, 0.0000), B at (0.0000, 0.0000, 0.1003), B at (0.0000, 0.0000, 0.6939), B at (0.3333, 0.6667, 0.8043), B at (0.6667, 0.3333, 0.2459), B at (0.6667, 0.3333, 0.9347), C at (0.0000, 0.0000, 0.4601), C at (0.3333, 0.6667, 0.1419), C at (0.3333, 0.6667, 0.2339), C at (0.3333, 0.6667, 0.7040), C at (0.6667, 0.3333, 0.4600) and C at (0.6667, 0.3333, 0.8440).

As for the magnetization: 0.0 μB/f.u. For the energy relative to the lowest polymorph listed for this composition, the calculation gives 231 meV/atom. The density is 2281 kg/m³. The calculation puts the energy at -0.2782 hartree per atom. The formation enthalpy at 0 K is 0.381 eV/atom.

***

Entry 3:
DFT (PBE) results for a relaxed structure of BC.

It has space group Pm (No. 6), with a = 3.844 Å, b = 2.658 Å, c = 8.351 Å, α = 90.00°, β = 91.43° and γ = 90.00°. The inequivalent atoms are B at (0.000, 0.000, 0.000), B at (0.017, 0.000, 0.261), B at (0.320, 0.000, 0.504), B at (0.380, 0.000, 0.766), B at (0.545, 0.500, 0.421), B at (0.857, 0.500, 0.674), C at (0.052, 0.000, 0.635), C at (0.312, 0.000, 0.122), C at (0.535, 0.500, 0.124), C at (0.566, 0.500, 0.813), C at (0.781, 0.500, 0.969) and C at (0.796, 0.500, 0.283).

As for the magnetization: 0.0 μB/f.u. For the energy relative to the lowest polymorph listed for this composition, the calculation gives 175 meV/atom. The density is 2665 kg/m³. The calculation puts the energy at -0.2802 hartree per atom. The formation enthalpy at 0 K is 0.326 eV/atom.

***

Entry 4:
DFT (PBE) results for a relaxed structure of B3C.

It has space group Cm (No. 8), with a = 8.596 Å, b = 2.742 Å, c = 8.350 Å, α = 90.00°, β = 99.80° and γ = 90.00°. The inequivalent atoms are B at (0.000, 0.000, 0.000), B at (0.007, 0.500, 0.474), B at (0.128, 0.000, 0.563), B at (0.160, 0.500, 0.814), B at (0.215, 0.500, 0.463), B at (0.291, 0.000, 0.384), B at (0.399, 0.000, 0.747), B at (0.418, 0.500, 0.583), B at (0.447, 0.500, 0.193), C at (0.024, 0.500, 0.919), C at (0.216, 0.000, 0.750) and C at (0.424, 0.000, 0.275).

As for the magnetization: 0.0 μB/f.u. For the energy relative to the lowest polymorph listed for this composition, the calculation gives 119 meV/atom. The density is 2283 kg/m³. The calculation puts the energy at -0.2556 hartree per atom. The formation enthalpy at 0 K is 0.360 eV/atom.